Entry 1:
A plane-wave DFT calculation with PBE was carried out for a relaxed structure of BeZn6Cu8.

a = 6.052 Å, b = 6.052 Å, c = 6.052 Å
α = 71.66°, β = 71.66°, γ = 71.66°
Fractional positions:
1 Be 0.000 0.000 0.000
2 Zn 0.169 0.618 0.444
3 Zn 0.382 0.556 0.831
4 Zn 0.444 0.169 0.618
5 Zn 0.556 0.831 0.382
6 Zn 0.618 0.444 0.169
7 Zn 0.831 0.382 0.556
8 Cu 0.051 0.353 0.876
9 Cu 0.124 0.949 0.647
10 Cu 0.245 0.245 0.245
11 Cu 0.353 0.876 0.051
12 Cu 0.647 0.124 0.949
13 Cu 0.755 0.755 0.755
14 Cu 0.876 0.051 0.353
15 Cu 0.949 0.647 0.124

Computed properties:
- volume (Å³ per cell) = 194
- symmetry = R-3

Entry 2:
A plane-wave DFT calculation with PBE was carried out for a relaxed structure of BeZn2Cu.

a = 2.560 Å, b = 4.002 Å, c = 4.911 Å
α = 90.00°, β = 102.40°, γ = 90.00°
Fractional positions:
1 Be 0.000 0.000 0.000
2 Zn 0.359 0.500 0.782
3 Zn 0.635 0.000 0.467
4 Cu 0.017 0.500 0.245

Computed properties:
- volume (Å³ per cell) = 49
- symmetry = Pm

Entry 3:
A plane-wave DFT calculation with PBE was carried out for a relaxed structure of BeZnCu2.

a = 4.030 Å, b = 4.030 Å, c = 4.030 Å
α = 60.00°, β = 60.00°, γ = 60.00°
Fractional positions:
1 Be 0.000 0.000 0.000
2 Zn 0.750 0.750 0.750
3 Cu 0.250 0.250 0.250
4 Cu 0.500 0.500 0.500

Computed properties:
- volume (Å³ per cell) = 46
- symmetry = F-43m
- distance to the lowest polymorph of the same formula (meV/atom) = 102

Entry 4:
A plane-wave DFT calculation with PBE was carried out for a relaxed structure of Be8ZnCu3.

a = 4.278 Å, b = 4.278 Å, c = 6.999 Å
α = 90.00°, β = 90.00°, γ = 120.00°
Fractional positions:
1 Be 0.000 0.000 0.000
2 Be 0.000 0.000 0.499
3 Be 0.166 0.332 0.754
4 Be 0.166 0.834 0.754
5 Be 0.331 0.165 0.247
6 Be 0.668 0.834 0.754
7 Be 0.835 0.165 0.247
8 Be 0.835 0.669 0.247
9 Zn 0.667 0.333 0.559
10 Cu 0.333 0.667 0.057
11 Cu 0.333 0.667 0.443
12 Cu 0.667 0.333 0.945

Computed properties:
- volume (Å³ per cell) = 111
- symmetry = P3m1

Entry 5:
A plane-wave DFT calculation with PBE was carried out for a relaxed structure of BeZn2Cu.

a = 8.629 Å, b = 8.629 Å, c = 8.629 Å
α = 17.39°, β = 17.39°, γ = 17.39°
Fractional positions:
1 Be 0.000 0.000 0.000
2 Zn 0.511 0.511 0.511
3 Zn 0.747 0.747 0.747
4 Cu 0.264 0.264 0.264

Computed properties:
- volume (Å³ per cell) = 50
- symmetry = R3m

Entry 6:
A plane-wave DFT calculation with PBE was carried out for a relaxed structure of BeZnCu3.

a = 5.780 Å, b = 5.780 Å, c = 4.280 Å
α = 90.00°, β = 90.00°, γ = 120.00°
Fractional positions:
1 Be 0.000 0.000 0.000
2 Be 0.000 0.000 0.500
3 Zn 0.333 0.667 0.250
4 Zn 0.667 0.333 0.750
5 Cu 0.190 0.379 0.750
6 Cu 0.190 0.810 0.750
7 Cu 0.379 0.190 0.250
8 Cu 0.621 0.810 0.750
9 Cu 0.810 0.190 0.250
10 Cu 0.810 0.621 0.250

Computed properties:
- volume (Å³ per cell) = 124
- symmetry = P6_3/mmc
- distance to the lowest polymorph of the same formula (meV/atom) = 147

| no. | theoretical density (kg/m³) | energy relative to the elements (eV per atom) |
| --- | --- | --- |
| 1 | 7790 | 0.032 |
| 2 | 6873 | 0.050 |
| 3 | 7228 | 0.015 |
| 4 | 4911 | -0.077 |
| 5 | 6746 | 0.078 |
| 6 | 7109 | 0.116 |